Entry 1:
GGA-PBEsol VHO3, optimized geometry; calculated density = 2.72 g/cm³; total magnetic moment = 0.00 μB/f.u.; energy = -7.63 eV per atom; V = 365.9 Å³/cell
1.0
5.334 0.000 0.000
0.000 8.914 0.000
-2.445 0.000 7.695
V H O
6 6 18
Direct
0.039 0.066 0.329
0.039 0.434 0.329
0.399 0.750 0.528
0.601 0.250 0.472
0.961 0.566 0.671
0.961 0.934 0.671
0.279 0.156 0.908
0.279 0.344 0.908
0.493 0.250 0.842
0.507 0.750 0.158
0.721 0.656 0.092
0.721 0.844 0.092
0.083 0.750 0.745
0.098 0.036 0.840
0.098 0.464 0.840
0.145 0.598 0.501
0.145 0.902 0.501
0.361 0.111 0.340
0.361 0.389 0.340
0.404 0.250 0.936
0.452 0.750 0.343
0.548 0.250 0.657
0.596 0.750 0.064
0.639 0.611 0.660
0.639 0.889 0.660
0.855 0.098 0.499
0.855 0.402 0.499
0.902 0.536 0.160
0.902 0.964 0.160
0.917 0.250 0.255

***

Entry 2:
GGA-PBEsol VHO2, optimized geometry; calculated density = 4.22 g/cm³; total magnetic moment = 2.00 μB/f.u.; energy = -7.67 eV per atom; V = 132.2 Å³/cell
1.0
9.922 0.000 0.000
0.000 2.916 0.000
0.000 0.000 4.570
V H O
4 4 8
Direct
0.141 0.250 0.063
0.359 0.750 0.563
0.641 0.250 0.437
0.859 0.750 0.937
0.097 0.750 0.596
0.403 0.250 0.096
0.597 0.750 0.904
0.903 0.250 0.404
0.057 0.750 0.801
0.198 0.750 0.319
0.302 0.250 0.819
0.443 0.250 0.301
0.557 0.750 0.699
0.698 0.750 0.181
0.802 0.250 0.681
0.943 0.250 0.199

***

Entry 3:
GGA-PBEsol VZn2HO5, optimized geometry; calculated density = 4.51 g/cm³; total magnetic moment = 0.00 μB/f.u.; energy = -6.45 eV per atom; V = 773.7 Å³/cell
1.0
14.550 0.000 0.000
0.000 5.996 0.000
0.000 0.000 8.868
V Zn H O
8 16 8 40
Direct
0.075 0.250 0.187
0.160 0.750 0.519
0.340 0.250 0.019
0.425 0.750 0.687
0.575 0.250 0.313
0.660 0.750 0.981
0.840 0.250 0.481
0.925 0.750 0.813
0.075 0.250 0.588
0.140 0.505 0.873
0.140 0.995 0.873
0.210 0.750 0.154
0.290 0.250 0.654
0.360 0.005 0.373
0.360 0.495 0.373
0.425 0.750 0.088
0.575 0.250 0.912
0.640 0.505 0.627
0.640 0.995 0.627
0.710 0.750 0.346
0.790 0.250 0.846
0.860 0.005 0.127
0.860 0.495 0.127
0.925 0.750 0.412
0.003 0.750 0.147
0.211 0.250 0.392
0.289 0.750 0.892
0.497 0.250 0.647
0.503 0.750 0.353
0.711 0.250 0.108
0.789 0.750 0.608
0.997 0.250 0.853
0.041 0.750 0.841
0.058 0.750 0.436
0.061 0.250 0.816
0.103 0.250 0.373
0.122 0.011 0.109
0.122 0.489 0.109
0.168 0.511 0.630
0.168 0.989 0.630
0.223 0.750 0.926
0.245 0.750 0.372
0.255 0.250 0.872
0.277 0.250 0.426
0.332 0.011 0.130
0.332 0.489 0.130
0.378 0.511 0.609
0.378 0.989 0.609
0.397 0.750 0.873
0.439 0.750 0.316
0.442 0.250 0.936
0.459 0.250 0.341
0.541 0.750 0.659
0.558 0.750 0.064
0.561 0.250 0.684
0.603 0.250 0.127
0.622 0.011 0.391
0.622 0.489 0.391
0.668 0.511 0.870
0.668 0.989 0.870
0.723 0.750 0.574
0.745 0.750 0.128
0.755 0.250 0.628
0.777 0.250 0.074
0.832 0.011 0.370
0.832 0.489 0.370
0.878 0.511 0.891
0.878 0.989 0.891
0.897 0.750 0.627
0.939 0.750 0.184
0.942 0.250 0.564
0.959 0.250 0.159

***

Entry 4:
GGA-PBEsol H2W2O7, optimized geometry; calculated density = 5.90 g/cm³; total magnetic moment = 0.06 μB/f.u.; energy = -8.23 eV per atom; V = 271.1 Å³/cell
1.0
0.000 5.121 5.189
5.101 0.000 5.189
5.101 5.121 0.000
H W O
4 4 14
Direct
0.394 0.606 0.510
0.606 0.394 0.490
0.740 0.760 0.856
0.760 0.740 0.644
0.167 0.227 0.053
0.197 0.697 0.083
0.227 0.167 0.553
0.697 0.197 0.023
0.132 0.513 0.001
0.143 0.143 0.357
0.146 0.500 0.369
0.249 0.896 0.118
0.253 0.253 0.747
0.265 0.881 0.750
0.500 0.146 0.985
0.503 0.503 0.997
0.513 0.132 0.354
0.558 0.558 0.442
0.808 0.808 0.692
0.881 0.265 0.104
0.893 0.893 0.107
0.896 0.249 0.737